(1)
# BaNd2Ag6 | Alexandria via LeMat-Bulk | GGA-PBE | relaxed
# E_form in eV per atom: -0.224
# Total DFT energy (no corrections) in eV/atom: -3.40
# Density in g/cm³: 7.77
# DOS(E_F) in states/eV/atom: 0.655
# Volume in Å³ per atom: 25.478
# M_tot in μB/atom: 0.000
data_BaNd2Ag6
_chemical_formula_sum 'Ba1 Nd2 Ag6'
_space_group_name_H-M_alt 'P 1'
_space_group_IT_number 1
_cell_length_a 8.4932
_cell_length_b 8.4932
_cell_length_c 3.6706
_cell_angle_alpha 90.00
_cell_angle_beta 90.00
_cell_angle_gamma 120.00
loop_
_space_group_symop_operation_xyz
'x,y,z'
loop_
_atom_site_label
_atom_site_fract_x
_atom_site_fract_y
_atom_site_fract_z
_atom_site_occupancy
Ba1 0.0000 0.0000 0.0000 1
Nd1 0.3333 0.6667 0.0000 1
Nd2 0.6667 0.3333 0.0000 1
Ag1 0.0000 0.3384 0.5000 1
Ag2 0.0000 0.6616 0.5000 1
Ag3 0.3384 0.0000 0.5000 1
Ag4 0.3384 0.3384 0.5000 1
Ag5 0.6616 0.0000 0.5000 1
Ag6 0.6616 0.6616 0.5000 1

(2)
# BaNdAg2 | Alexandria via LeMat-Bulk | GGA-PBE | relaxed
# E_form in eV per atom: -0.126
# Total DFT energy (no corrections) in eV/atom: -3.22
# Density in g/cm³: 6.82
# DOS(E_F) in states/eV/atom: 1.233
# Volume in Å³ per atom: 30.285
# M_tot in μB/atom: 0.000
data_BaNdAg2
_chemical_formula_sum 'Ba1 Nd1 Ag2'
_space_group_name_H-M_alt 'P 1'
_space_group_IT_number 1
_cell_length_a 5.5539
_cell_length_b 5.5539
_cell_length_c 5.5539
_cell_angle_alpha 60.00
_cell_angle_beta 60.00
_cell_angle_gamma 60.00
loop_
_space_group_symop_operation_xyz
'x,y,z'
loop_
_atom_site_label
_atom_site_fract_x
_atom_site_fract_y
_atom_site_fract_z
_atom_site_occupancy
Ba1 0.0000 0.0000 0.0000 1
Nd1 0.5000 0.5000 0.5000 1
Ag1 0.2500 0.2500 0.2500 1
Ag2 0.7500 0.7500 0.7500 1

(3)
# BaNdAg2 | Alexandria via LeMat-Bulk | GGA-PBE | relaxed
# E_form in eV per atom: -0.233
# Total DFT energy (no corrections) in eV/atom: -3.33
# Density in g/cm³: 6.80
# DOS(E_F) in states/eV/atom: 0.916
# Volume in Å³ per atom: 30.379
# M_tot in μB/atom: 0.000
data_BaNdAg2
_chemical_formula_sum 'Ba1 Nd1 Ag2'
_space_group_name_H-M_alt 'P 1'
_space_group_IT_number 1
_cell_length_a 3.9182
_cell_length_b 3.9182
_cell_length_c 7.9150
_cell_angle_alpha 90.00
_cell_angle_beta 90.00
_cell_angle_gamma 90.00
loop_
_space_group_symop_operation_xyz
'x,y,z'
loop_
_atom_site_label
_atom_site_fract_x
_atom_site_fract_y
_atom_site_fract_z
_atom_site_occupancy
Ba1 0.0000 0.0000 0.0000 1
Nd1 0.0000 0.0000 0.5000 1
Ag1 0.5000 0.5000 0.2983 1
Ag2 0.5000 0.5000 0.7017 1

Q: volume of number 1 (BaNd2Ag6)?
A: 25.478 Å³ per atom

Q: Among the records above, which one has the highest volume?
A: number 3

Q: Number 2 is which compound?
A: BaNdAg2